An optimized crystal structure of Si3Pb, computed with PBE-GGA.

Crystal system = cubic
Space-group type = Pm-3n
E_form (uncorrected) = 3.2 eV per formula unit
ΔE to the lowest computed polymorph = 410.3 meV per atom

a = 5.4718 Å, b = 5.4718 Å, c = 5.4718 Å
α = 90.00°, β = 90.00°, γ = 90.00°
Element x y z (fractional)
Si  0.0000  0.2500  0.5000
Si  0.0000  0.7500  0.5000
Si  0.2500  0.5000  0.0000
Si  0.5000  0.0000  0.2500
Si  0.5000  0.0000  0.7500
Si  0.7500  0.5000  0.0000
Pb  0.0000  0.0000  0.0000
Pb  0.5000  0.5000  0.5000

=====

An optimized crystal structure of NdDyPtAu, computed with PBE-GGA.

Crystal system = cubic
Formation energy = -0.96 eV/atom
Space-group type = F-43m
ΔE to the lowest computed polymorph = 59.3 meV per atom

a = 5.1015 Å, b = 5.1015 Å, c = 5.1015 Å
α = 60.00°, β = 60.00°, γ = 60.00°
Element x y z (fractional)
Nd  0.0000  0.0000  0.0000
Dy  0.5000  0.5000  0.5000
Pt  0.7500  0.7500  0.7500
Au  0.2500  0.2500  0.2500

=====

An optimized crystal structure of MgNb2ReTc, computed with PBE-GGA.

Crystal system = tetragonal
Formation energy = 1.18 eV/atom
Space-group type = P4/mmm

a = 4.8050 Å, b = 4.8050 Å, c = 4.7573 Å
α = 90.00°, β = 90.00°, γ = 90.00°
Element x y z (fractional)
Mg  0.0000  0.0000  0.0000
Nb  0.0000  0.5000  0.5000
Nb  0.5000  0.0000  0.5000
Re  0.5000  0.5000  0.0000
Tc  0.5000  0.5000  0.5000

=====

An optimized crystal structure of CsLi3Tc, computed with PBE-GGA.

Crystal system = cubic
Formation energy = 0.93 eV/atom
Space-group type = Pm-3m
ΔE to the lowest computed polymorph = 0.0 meV per atom

a = 5.2240 Å, b = 5.2240 Å, c = 5.2240 Å
α = 90.00°, β = 90.00°, γ = 90.00°
Element x y z (fractional)
Cs  0.0000  0.0000  0.0000
Li  0.0000  0.5000  0.5000
Li  0.5000  0.0000  0.5000
Li  0.5000  0.5000  0.0000
Tc  0.5000  0.5000  0.5000

=====

An optimized crystal structure of RbTlSe2, computed with PBE-GGA.

Crystal system = triclinic
Space-group type = P1
E_form (uncorrected) = -2.4 eV per formula unit
ΔE to the lowest computed polymorph = 63.4 meV per atom

a = 5.3104 Å, b = 6.4397 Å, c = 9.0767 Å
α = 80.66°, β = 82.17°, γ = 87.97°
Element x y z (fractional)
Rb  0.0000  0.0000  0.0000
Rb  0.0900  0.5740  0.6060
Tl  0.5006  0.4791  0.0776
Tl  0.5259  0.1010  0.4510
Se  0.5482  0.8215  0.7977
Se  0.5518  0.2048  0.7583
Se  0.7035  0.6708  0.3212
Se  0.9752  0.3650  0.2829

=====

An optimized crystal structure of CuRu3I, computed with PBE-GGA.

Crystal system = cubic
Space-group type = Pm-3m
E_form (uncorrected) = 8.5 eV per formula unit
ΔE to the lowest computed polymorph = 0.0 meV per atom

a = 4.6476 Å, b = 4.6476 Å, c = 4.6476 Å
α = 90.00°, β = 90.00°, γ = 90.00°
Element x y z (fractional)
Cu  0.0000  0.0000  0.0000
Ru  0.0000  0.0000  0.5000
Ru  0.0000  0.5000  0.0000
Ru  0.5000  0.0000  0.0000
I  0.5000  0.5000  0.5000

=====

An optimized crystal structure of CuMo2As2, computed with PBE-GGA.

Crystal system = tetragonal
Formation energy = 0.04 eV/atom
Space-group type = P4/mbm
ΔE to the lowest computed polymorph = 0.0 meV per atom

a = 6.9515 Å, b = 6.9515 Å, c = 3.2861 Å
α = 90.00°, β = 90.00°, γ = 90.00°
Element x y z (fractional)
Cu  0.0000  0.0000  0.0000
Cu  0.5000  0.5000  0.0000
Mo  0.1433  0.3567  0.0000
Mo  0.3567  0.8567  0.0000
Mo  0.6433  0.1433  0.0000
Mo  0.8567  0.6433  0.0000
As  0.1530  0.6530  0.5000
As  0.3470  0.1530  0.5000
As  0.6530  0.8470  0.5000
As  0.8470  0.3470  0.5000

=====

An optimized crystal structure of Nd2YHoTe5, computed with PBE-GGA.

Crystal system = tetragonal
Space-group type = P4/mmm
E_form (uncorrected) = -7.3 eV per formula unit

a = 5.5276 Å, b = 5.5276 Å, c = 11.5476 Å
α = 90.00°, β = 90.00°, γ = 90.00°
Element x y z (fractional)
Nd  0.0000  0.0000  0.1631
Nd  0.0000  0.0000  0.8369
Y  0.5000  0.5000  0.5000
Ho  0.5000  0.5000  0.0000
Te  0.0000  0.0000  0.5000
Te  0.0000  0.5000  0.0000
Te  0.5000  0.0000  0.0000
Te  0.5000  0.5000  0.2544
Te  0.5000  0.5000  0.7456

=====

An optimized crystal structure of Zn2TcAu, computed with PBE-GGA.

Crystal system = tetragonal
Formation energy = 0.00 eV/atom
Space-group type = P4/mmm
ΔE to the lowest computed polymorph = 0.0 meV per atom

a = 4.1100 Å, b = 4.1100 Å, c = 3.5708 Å
α = 90.00°, β = 90.00°, γ = 90.00°
Element x y z (fractional)
Zn  0.0000  0.5000  0.0000
Zn  0.5000  0.0000  0.0000
Tc  0.0000  0.0000  0.5000
Au  0.5000  0.5000  0.5000

=====

An optimized crystal structure of KRbTc2, computed with PBE-GGA.

Crystal system = cubic
Formation energy = 2.28 eV/atom
Space-group type = Fm-3m
ΔE to the lowest computed polymorph = 235.4 meV per atom

a = 5.7161 Å, b = 5.7161 Å, c = 5.7161 Å
α = 60.00°, β = 60.00°, γ = 60.00°
Element x y z (fractional)
K  0.0000  0.0000  0.0000
Rb  0.5000  0.5000  0.5000
Tc  0.2500  0.2500  0.2500
Tc  0.7500  0.7500  0.7500

=====

An optimized crystal structure of Y2Si2Mo, computed with PBE-GGA.

Crystal system = tetragonal
Space-group type = I4/mmm
E_form (uncorrected) = 0.7 eV per formula unit
ΔE to the lowest computed polymorph = 714.7 meV per atom

a = 9.2299 Å, b = 9.2299 Å, c = 9.2299 Å
α = 158.26°, β = 158.26°, γ = 30.94°
Element x y z (fractional)
Y  0.1059  0.1059  0.0000
Y  0.8941  0.8941  0.0000
Si  0.2500  0.7500  0.5000
Si  0.7500  0.2500  0.5000
Mo  0.5000  0.5000  0.0000

=====

An optimized crystal structure of Mn2OsPt, computed with PBE-GGA.

Crystal system = trigonal
Formation energy = 0.01 eV/atom
Space-group type = R-3m

a = 8.6841 Å, b = 8.6841 Å, c = 8.6841 Å
α = 18.42°, β = 18.42°, γ = 18.42°
Element x y z (fractional)
Mn  0.2479  0.2479  0.2479
Mn  0.7521  0.7521  0.7521
Os  0.5000  0.5000  0.5000
Pt  0.0000  0.0000  0.0000

=====

Q: Number 8 is which compound?
A: Nd2YHoTe5

=====

Q: What is the formula in the sixth record?
A: CuRu3I